1.
Entry from the Alexandria database: an optimized crystal structure of AcPm2NdSm6 (PBE).

Cell and atoms, written as extended XYZ:
```
20
Lattice="9.336 -2.144 -2.225 0.978 8.795 -2.152 0.978 -2.476 8.709" Properties=species:S:1:pos:R:3 pbc="T T T"
Sm 2.280 4.749 2.545
Nd 7.980 2.581 0.619
Sm 6.046 5.056 -1.741
Sm 1.378 -0.855 6.100
Ac 3.312 7.972 -2.431
Nd 3.312 1.595 3.714
Sm 2.284 4.499 -1.420
Ac 7.980 -3.797 6.764
Sm 9.008 -0.324 5.753
Sm 9.914 5.031 -1.767
Sm 9.012 -0.574 1.788
Pm 5.709 4.406 3.264
Sm 4.340 6.833 1.002
Sm 4.343 2.880 0.605
Sm 5.246 -0.881 6.074
Sm 6.952 -2.658 3.331
Sm 6.948 1.296 3.728
Pm 5.583 -0.231 1.069
Pm 10.377 2.027 3.412
Pm 0.915 2.148 0.921
```

=====

2.
Entry from the Alexandria database: an optimized crystal structure of AcPmNd4Sm2 (PBE).

Cell and atoms, written as extended XYZ:
```
16
Lattice="-8.583 -1.544 4.393 4.087 -5.746 6.754 4.300 10.308 -4.730" Properties=species:S:1:pos:R:3 pbc="T T T"
Nd 0.931 3.190 0.009
Ac 2.044 -2.873 3.377
Nd 0.909 -4.647 6.258
Nd -3.270 2.517 2.521
Nd 3.075 0.502 3.896
Ac -4.389 0.737 5.405
Sm -4.291 -0.772 2.196
Pm -4.282 8.764 -0.337
Nd -1.247 -1.609 3.158
Nd 1.052 4.627 3.259
Nd -1.126 -0.172 6.408
Sm -2.141 4.382 -0.169
Sm -2.248 -3.645 5.574
Pm -0.098 1.509 3.209
Sm 2.150 5.154 -2.365
Nd -1.104 7.665 0.159
```

=====

3.
Entry from the Alexandria database: an optimized crystal structure of AcPmNd2Sm (PBE).

Cell and atoms, written as extended XYZ:
```
10
Lattice="-2.371 -1.873 -5.098 7.388 -4.314 -1.850 -2.679 -6.054 3.471" Properties=species:S:1:pos:R:3 pbc="T T T"
Sm -0.686 -8.571 -3.419
Pm -1.855 -2.450 -1.681
Nd 2.485 -6.884 -2.068
Ac -1.339 -3.027 1.735
Nd 1.144 -9.912 -0.336
Pm -3.195 -5.478 0.054
Ac 0.000 0.000 0.000
Sm 3.024 -3.671 -0.058
Nd 1.194 -2.330 -3.141
Nd -0.147 -5.359 -1.410
```

=====

no.,ρ (Mg/m³),M_tot (μB per cell),final energy (eV per atom)
1,7.29,0.00,-4.548
2,7.12,0.00,-4.295
3,6.94,0.00,-4.359